Arrangement i

Density functional theory data (GGA-PBE) for an optimized crystal structure of Li5AlZn.

Properties
Crystal system: monoclinic
Density: 1.74 Mg/m³

The structure in CIF format:
```
data_Li5AlZn
_symmetry_space_group_name_H-M 'C 1 2/c 1'
_symmetry_Int_Tables_number 15
_cell_length_a 9.7982
_cell_length_b 5.3746
_cell_length_c 9.2927
_cell_angle_alpha 90.00
_cell_angle_beta 98.26
_cell_angle_gamma 90.00
loop_
_symmetry_equiv_pos_as_xyz
'x,y,z'
'-x,-y,-z'
'-x,y,-z+1/2'
'x,-y,z+1/2'
'x+1/2,y+1/2,z'
'-x+1/2,-y+1/2,-z'
'-x+1/2,y+1/2,-z+1/2'
'x+1/2,-y+1/2,z+1/2'
loop_
_atom_site_label
_atom_site_type_symbol
_atom_site_fract_x
_atom_site_fract_y
_atom_site_fract_z
Li1 Li 0.0000 0.2398 0.2500
Li2 Li 0.1427 0.0015 0.5235
Li3 Li 0.2262 0.4842 0.2043
Al1 Al 0.0000 0.2463 0.7500
Zn1 Zn 0.0000 0.5000 0.0000
```


Arrangement ii

Density functional theory data (GGA-PBE) for an optimized crystal structure of Li5AlZn.

Properties
Crystal system: orthorhombic
Density: 1.62 Mg/m³

The structure in CIF format:
```
data_Li5AlZn
_symmetry_space_group_name_H-M 'C m m m'
_symmetry_Int_Tables_number 65
_symmetry_space_group_name_Hall '-C 2 2'
_cell_length_a 5.7236
_cell_length_b 7.9000
_cell_length_c 5.7459
_cell_angle_alpha 90.00
_cell_angle_beta 90.00
_cell_angle_gamma 90.00
loop_
_atom_site_label
_atom_site_type_symbol
_atom_site_fract_x
_atom_site_fract_y
_atom_site_fract_z
Li1 Li 0.0000 0.0000 0.0000
Li2 Li 0.2500 0.2500 0.2586
Al1 Al 0.0000 0.0000 0.5000
Zn1 Zn 0.0000 0.5000 0.0000
```


Question: of the structures shown, which is the most stable? Reply: arrangement i.